# 1
{"formula": "RbNpNiCl6", "functional": "PBE", "state": "optimized geometry", "lattice": [[-5.487, 1.611, 2.988], [-2.309, -3.566, 5.573], [4.177, 4.809, 3.928]], "species": ["Rb", "Np", "Ni", "Cl", "Cl", "Cl", "Cl", "Cl", "Cl"], "frac_coords": [[0.928, 0.021, 0.001], [0.661, 0.674, 0.509], [0.333, 0.369, 0.468], [0.008, 0.385, 0.280], [0.410, 0.950, 0.774], [0.660, 0.340, 0.656], [0.061, 0.598, 0.696], [0.339, 0.646, 0.286], [0.600, 0.015, 0.330]], "space_group": "P1 (1)", "total_magnetization_mub_per_cell": 3.873, "dft_energy_ev_per_atom": -4.818, "formation_energy_uncorrected_ev_per_atom": -1.40}

---

# 2
{"formula": "Np2NiS4Cl", "functional": "PBE", "state": "optimized geometry", "lattice": [[3.832, 0.000, 0.000], [1.916, 5.664, 0.803], [1.916, 2.147, 7.394]], "species": ["Np", "Np", "Ni", "S", "S", "S", "S", "Cl"], "frac_coords": [[0.817, 0.648, 0.717], [0.183, 0.352, 0.283], [0.000, 0.000, 0.000], [0.159, 0.996, 0.687], [0.378, 0.299, 0.944], [0.841, 0.004, 0.313], [0.622, 0.701, 0.056], [0.500, 0.500, 0.500]], "space_group": "C2/m (12)", "total_magnetization_mub_per_cell": 7.706, "dft_energy_ev_per_atom": -7.281, "formation_energy_uncorrected_ev_per_atom": -1.03}

---

# 3
{"formula": "NpTl2NiCl8", "functional": "PBE", "state": "optimized geometry", "lattice": [[7.364, -0.253, 1.066], [-0.401, 6.556, -1.069], [1.384, -1.230, 8.194]], "species": ["Np", "Tl", "Tl", "Ni", "Cl", "Cl", "Cl", "Cl", "Cl", "Cl", "Cl", "Cl"], "frac_coords": [[0.000, 0.000, 0.500], [0.443, 0.644, 0.822], [0.557, 0.356, 0.178], [0.000, 0.000, 0.000], [0.202, 0.710, 0.249], [0.704, 0.891, 0.056], [0.946, 0.189, 0.276], [0.798, 0.290, 0.751], [0.296, 0.109, 0.944], [0.054, 0.811, 0.724], [0.700, 0.763, 0.486], [0.300, 0.237, 0.514]], "space_group": "P-1 (2)", "total_magnetization_mub_per_cell": 2.905, "dft_energy_ev_per_atom": -4.328, "formation_energy_uncorrected_ev_per_atom": -1.14}